[1]
K2Cu2RhO4 | PBE | optimized geometry

Properties
SG = C2/m
Electronic total energy = -44.7 eV per cell

Unit cell a=3.172 b=7.477 c=5.995 alpha=103.36 beta=90.00 gamma=102.25
Last column: magnetic moment on the atom in μB.
Element x y z (fractional)
1 K 0.892 0.784 0.454  0.00
2 K 0.108 0.216 0.546  0.00
3 Cu 0.304 0.608 0.943  0.00
4 Cu 0.696 0.392 0.057  0.00
5 Rh 0.000 0.000 0.000  0.25
6 O 0.856 0.713 0.858  0.00
7 O 0.144 0.287 0.142  0.00
8 O 0.484 0.969 0.208  0.07
9 O 0.516 0.031 0.792  0.07

=====

[2]
K2CuRuO4 | PBE | optimized geometry

Properties
SG = I-4
Electronic total energy = -43.6 eV per cell

Unit cell a=5.539 b=5.539 c=5.539 alpha=100.14 beta=114.33 gamma=114.33
Last column: magnetic moment on the atom in μB.
Element x y z (fractional)
1 K 0.500 0.750 0.250  0.00
2 K 0.000 0.000 0.000  0.00
3 Cu 0.500 0.250 0.750  0.11
4 Ru 0.000 0.500 0.500  0.46
5 O 0.618 0.375 0.478  0.05
6 O 0.104 0.243 0.625  0.05
7 O 0.896 0.522 0.139  0.05
8 O 0.382 0.861 0.757  0.05

=====

Question: Which value of electronic total energy does entry 1 give?
Answer: -44.7 eV per cell

=====

What did the second record say?
K2CuRuO4 | PBE | optimized geometry

Properties
SG = I-4
Electronic total energy = -43.6 eV per cell

Unit cell a=5.539 b=5.539 c=5.539 alpha=100.14 beta=114.33 gamma=114.33
Last column: magnetic moment on the atom in μB.
Element x y z (fractional)
1 K 0.500 0.750 0.250  0.00
2 K 0.000 0.000 0.000  0.00
3 Cu 0.500 0.250 0.750  0.11
4 Ru 0.000 0.500 0.500  0.46
5 O 0.618 0.375 0.478  0.05
6 O 0.104 0.243 0.625  0.05
7 O 0.896 0.522 0.139  0.05
8 O 0.382 0.861 0.757  0.05

=====

Question: What is the electronic total energy in the second record?
Answer: -43.6 eV per cell

=====

Please write out number 2 again, unchanged.
K2CuRuO4 | PBE | optimized geometry

Properties
SG = I-4
Electronic total energy = -43.6 eV per cell

Unit cell a=5.539 b=5.539 c=5.539 alpha=100.14 beta=114.33 gamma=114.33
Last column: magnetic moment on the atom in μB.
Element x y z (fractional)
1 K 0.500 0.750 0.250  0.00
2 K 0.000 0.000 0.000  0.00
3 Cu 0.500 0.250 0.750  0.11
4 Ru 0.000 0.500 0.500  0.46
5 O 0.618 0.375 0.478  0.05
6 O 0.104 0.243 0.625  0.05
7 O 0.896 0.522 0.139  0.05
8 O 0.382 0.861 0.757  0.05